Density functional theory data (PBE) for SrSc2Tc after structural relaxation.

Geometry as CIF:
```
data_SrSc2Tc
_cell_length_a 5.807
_cell_length_b 3.058
_cell_length_c 5.808
_cell_angle_alpha 90.00
_cell_angle_beta 117.25
_cell_angle_gamma 90.00
_symmetry_space_group_name_H-M 'P 1 2/m 1'
_symmetry_Int_Tables_number 10
loop_
_symmetry_equiv_pos_as_xyz
'x,y,z'
'-x,-y,-z'
'-x,y,-z'
'x,-y,z'
loop_
_atom_site_label
_atom_site_type_symbol
_atom_site_fract_x
_atom_site_fract_y
_atom_site_fract_z
Sr1 Sr 0.000 0.000 0.000
Sc1 Sc 0.000 0.500 0.500
Sc2 Sc 0.500 0.000 0.500
Tc1 Tc 0.500 0.500 0.000
```

Computed properties:
Density of states at the Fermi level   5.56 states/eV/cell
Formation enthalpy at 0 K   604 meV/atom
Electronic total energy   -22.29 eV/cell
ρ   5.0 g/cm3
M_tot   0.0 μB/cell


Density functional theory data (PBE) for SrSc2Tc after structural relaxation.

Geometry as CIF:
```
data_SrSc2Tc
_cell_length_a 4.746
_cell_length_b 4.746
_cell_length_c 8.197
_cell_angle_alpha 90.00
_cell_angle_beta 90.00
_cell_angle_gamma 90.00
_symmetry_space_group_name_H-M 'I -4 m 2'
_symmetry_Int_Tables_number 119
_symmetry_space_group_name_Hall 'I -4 -2'
loop_
_atom_site_label
_atom_site_type_symbol
_atom_site_fract_x
_atom_site_fract_y
_atom_site_fract_z
Sr1 Sr 0.000 0.000 0.000
Sc1 Sc 0.000 0.000 0.500
Sc2 Sc 0.000 0.500 0.250
Tc1 Tc 0.000 0.500 0.750
```

Computed properties:
Density of states at the Fermi level   8.59 states/eV/cell
Formation enthalpy at 0 K   516 meV/atom
Electronic total energy   -45.30 eV/cell
ρ   5.0 g/cm3
M_tot   0.0 μB/cell


Density functional theory data (PBE) for SrSc2Tc after structural relaxation.

Geometry as CIF:
```
data_SrSc2Tc
_cell_length_a 3.339
_cell_length_b 4.512
_cell_length_c 14.812
_cell_angle_alpha 90.00
_cell_angle_beta 90.00
_cell_angle_gamma 90.00
_symmetry_space_group_name_H-M 'I m m 2'
_symmetry_Int_Tables_number 44
loop_
_symmetry_equiv_pos_as_xyz
'x,y,z'
'-x,-y,z'
'-x,y,z'
'x,-y,z'
'x+1/2,y+1/2,z+1/2'
'-x+1/2,-y+1/2,z+1/2'
'-x+1/2,y+1/2,z+1/2'
'x+1/2,-y+1/2,z+1/2'
loop_
_atom_site_label
_atom_site_type_symbol
_atom_site_fract_x
_atom_site_fract_y
_atom_site_fract_z
Sr1 Sr 0.000 0.000 0.000
Sc1 Sc 0.000 0.000 0.323
Sc2 Sc 0.000 0.500 0.183
Tc1 Tc 0.000 0.500 0.689
```

Computed properties:
Density of states at the Fermi level   9.53 states/eV/cell
Formation enthalpy at 0 K   242 meV/atom
Electronic total energy   -47.48 eV/cell
ρ   4.1 g/cm3
M_tot   0.0 μB/cell


Question: What is the electronic total energy in the second record?
Answer: -45.30 eV/cell